# 1
# MnCo3B (PBE-GGA, relaxed)
# * size of the total moment: 1.98 μB/f.u.
# * space group: Pm-3m, No. 221
# * calculated volume: 13.74 Å³/atom
# * ρ: 5.86 Mg/m³
# * excess energy over the best structure of this formula in the dataset: 1586 meV per atom
# * D(E_F): 1.493 states/eV/atom
data_MnCo3B
_chemical_formula_sum 'Mn1 Co3 B1'
_symmetry_space_group_name_H-M 'P 1'
_symmetry_Int_Tables_number 1
_symmetry_space_group_name_Hall 'P 1'
_cell_length_a 4.096
_cell_length_b 4.096
_cell_length_c 4.096
_cell_angle_alpha 90.00
_cell_angle_beta 90.00
_cell_angle_gamma 90.00
loop_
_atom_site_label
_atom_site_type_symbol
_atom_site_fract_x
_atom_site_fract_y
_atom_site_fract_z
Mn1 Mn 0.000 0.000 0.000
B1 B 0.500 0.500 0.500
Co1 Co 0.500 0.000 0.000
Co2 Co 0.000 0.500 0.000
Co3 Co 0.000 0.000 0.500

# 2
# Mn3Co2B (PBE-GGA, relaxed)
# * size of the total moment: 0.61 μB/f.u.
# * space group: Cmmm, No. 65
# * calculated volume: 9.79 Å³/atom
# * ρ: 8.30 Mg/m³
# * D(E_F): 1.111 states/eV/atom
data_Mn3Co2B
_chemical_formula_sum 'Mn3 Co2 B1'
_symmetry_space_group_name_H-M 'P 1'
_symmetry_Int_Tables_number 1
_symmetry_space_group_name_Hall 'P 1'
_cell_length_a 2.491
_cell_length_b 3.906
_cell_length_c 6.343
_cell_angle_alpha 107.93
_cell_angle_beta 90.00
_cell_angle_gamma 90.00
loop_
_atom_site_label
_atom_site_type_symbol
_atom_site_fract_x
_atom_site_fract_y
_atom_site_fract_z
Mn1 Mn 0.000 0.689 0.378
B1 B 0.000 0.000 0.000
Co1 Co 0.500 0.133 0.266
Co2 Co 0.500 0.867 0.734
Mn2 Mn 0.000 0.311 0.622
Mn3 Mn 0.500 0.500 0.000

# 3
# MnCo3B (PBE-GGA, relaxed)
# * size of the total moment: 1.44 μB/f.u.
# * space group: Pm-3m, No. 221
# * calculated volume: 10.44 Å³/atom
# * ρ: 7.71 Mg/m³
# * excess energy over the best structure of this formula in the dataset: 0 meV per atom
# * D(E_F): 1.859 states/eV/atom
data_MnCo3B
_chemical_formula_sum 'Mn1 Co3 B1'
_symmetry_space_group_name_H-M 'P 1'
_symmetry_Int_Tables_number 1
_symmetry_space_group_name_Hall 'P 1'
_cell_length_a 3.738
_cell_length_b 3.738
_cell_length_c 3.738
_cell_angle_alpha 90.00
_cell_angle_beta 90.00
_cell_angle_gamma 90.00
loop_
_atom_site_label
_atom_site_type_symbol
_atom_site_fract_x
_atom_site_fract_y
_atom_site_fract_z
Co1 Co 0.000 0.000 0.500
Co2 Co 0.500 0.000 0.000
Co3 Co 0.000 0.500 0.000
B1 B 0.000 0.000 0.000
Mn1 Mn 0.500 0.500 0.500

# 4
# Rb2MnCoB (PBE-GGA, relaxed)
# * size of the total moment: 3.66 μB/f.u.
# * space group: P4/mmm, No. 123
# * calculated volume: 31.99 Å³/atom
# * ρ: 3.07 Mg/m³
# * D(E_F): 1.095 states/eV/atom
data_Rb2MnCoB
_chemical_formula_sum 'Rb2 Mn1 Co1 B1'
_symmetry_space_group_name_H-M 'P 1'
_symmetry_Int_Tables_number 1
_symmetry_space_group_name_Hall 'P 1'
_cell_length_a 6.455
_cell_length_b 3.838
_cell_length_c 6.455
_cell_angle_alpha 90.00
_cell_angle_beta 90.00
_cell_angle_gamma 90.00
loop_
_atom_site_label
_atom_site_type_symbol
_atom_site_fract_x
_atom_site_fract_y
_atom_site_fract_z
Rb1 Rb 0.500 0.000 0.000
Rb2 Rb 0.000 0.000 0.500
Mn1 Mn 0.500 0.500 0.500
B1 B 0.000 0.000 0.000
Co1 Co 0.000 0.500 0.000

# 5
# MnCo2ReB (PBE-GGA, relaxed)
# * size of the total moment: 1.37 μB/f.u.
# * space group: P4/mmm, No. 123
# * calculated volume: 14.56 Å³/atom
# * ρ: 8.44 Mg/m³
# * D(E_F): 1.203 states/eV/atom
data_MnCo2ReB
_chemical_formula_sum 'Mn1 Co2 Re1 B1'
_symmetry_space_group_name_H-M 'P 1'
_symmetry_Int_Tables_number 1
_symmetry_space_group_name_Hall 'P 1'
_cell_length_a 4.046
_cell_length_b 4.446
_cell_length_c 4.046
_cell_angle_alpha 90.00
_cell_angle_beta 90.00
_cell_angle_gamma 90.00
loop_
_atom_site_label
_atom_site_type_symbol
_atom_site_fract_x
_atom_site_fract_y
_atom_site_fract_z
Re1 Re 0.000 0.500 0.000
Co1 Co 0.500 0.000 0.000
B1 B 0.500 0.500 0.500
Co2 Co 0.000 0.000 0.500
Mn1 Mn 0.000 0.000 0.000

# 6
# ScMnCo2B (PBE-GGA, relaxed)
# * size of the total moment: 2.97 μB/f.u.
# * space group: P4/mmm, No. 123
# * calculated volume: 11.97 Å³/atom
# * ρ: 6.34 Mg/m³
# * D(E_F): 0.635 states/eV/atom
data_ScMnCo2B
_chemical_formula_sum 'Sc1 Mn1 Co2 B1'
_symmetry_space_group_name_H-M 'P 1'
_symmetry_Int_Tables_number 1
_symmetry_space_group_name_Hall 'P 1'
_cell_length_a 3.898
_cell_length_b 3.898
_cell_length_c 3.939
_cell_angle_alpha 90.00
_cell_angle_beta 90.00
_cell_angle_gamma 90.00
loop_
_atom_site_label
_atom_site_type_symbol
_atom_site_fract_x
_atom_site_fract_y
_atom_site_fract_z
Co1 Co 0.000 0.500 0.000
Co2 Co 0.500 0.000 0.000
B1 B 0.000 0.000 0.000
Mn1 Mn 0.000 0.000 0.500
Sc1 Sc 0.500 0.500 0.500

# 7
# TaMn2CoB (PBE-GGA, relaxed)
# * size of the total moment: 5.81 μB/f.u.
# * space group: P4/mmm, No. 123
# * calculated volume: 19.30 Å³/atom
# * ρ: 6.20 Mg/m³
# * D(E_F): 1.062 states/eV/atom
data_TaMn2CoB
_chemical_formula_sum 'Ta1 Mn2 Co1 B1'
_symmetry_space_group_name_H-M 'P 1'
_symmetry_Int_Tables_number 1
_symmetry_space_group_name_Hall 'P 1'
_cell_length_a 4.683
_cell_length_b 4.400
_cell_length_c 4.683
_cell_angle_alpha 90.00
_cell_angle_beta 90.00
_cell_angle_gamma 90.00
loop_
_atom_site_label
_atom_site_type_symbol
_atom_site_fract_x
_atom_site_fract_y
_atom_site_fract_z
B1 B 0.500 0.500 0.500
Mn1 Mn 0.000 0.000 0.500
Co1 Co 0.000 0.500 0.000
Ta1 Ta 0.000 0.000 0.000
Mn2 Mn 0.500 0.000 0.000

# 8
# Tb2MnCo5B2 (PBE-GGA, relaxed)
# * size of the total moment: 4.63 μB/f.u.
# * space group: P4/mbm, No. 127
# * calculated volume: 12.49 Å³/atom
# * ρ: 9.16 Mg/m³
# * D(E_F): 0.639 states/eV/atom
data_Tb2MnCo5B2
_chemical_formula_sum 'Tb4 Mn2 Co10 B4'
_symmetry_space_group_name_H-M 'P 1'
_symmetry_Int_Tables_number 1
_symmetry_space_group_name_Hall 'P 1'
_cell_length_a 3.036
_cell_length_b 9.073
_cell_length_c 9.073
_cell_angle_alpha 90.00
_cell_angle_beta 90.00
_cell_angle_gamma 90.00
loop_
_atom_site_label
_atom_site_type_symbol
_atom_site_fract_x
_atom_site_fract_y
_atom_site_fract_z
Tb1 Tb 0.000 0.678 0.178
Mn1 Mn 0.000 0.500 0.500
Co1 Co 0.500 0.933 0.228
Tb2 Tb 0.000 0.822 0.678
Tb3 Tb 0.000 0.322 0.822
Co2 Co 0.500 0.228 0.067
Co3 Co 0.500 0.433 0.272
Mn2 Mn 0.000 0.000 0.000
Co4 Co 0.500 0.567 0.728
Co5 Co 0.500 0.772 0.933
B1 B 0.000 0.118 0.618
Co6 Co 0.500 0.728 0.433
Co7 Co 0.500 0.067 0.772
B2 B 0.000 0.618 0.882
Co8 Co 0.500 0.272 0.567
Tb4 Tb 0.000 0.178 0.322
Co9 Co 0.500 0.000 0.500
Co10 Co 0.500 0.500 0.000
B3 B 0.000 0.382 0.118
B4 B 0.000 0.882 0.382

Computed energy of formation (meV per atom) in order:
1924; -56; 339; 1162; 2035; -274; 2222; -254